[1]
DFT (PBE) results for crystalline Gd3Mg2CdPd2Au at its relaxed geometry.

Computed properties:
The symmetry is Amm2 (38). As for the total energy: -4.200 eV per atom. For the total magnetic moment, the calculation gives 0.01 μB per cell.

a = 4.0548 Å, b = 7.5821 Å, c = 7.5821 Å
α = 119.55°, β = 90.00°, γ = 90.00°
With the nearest neighbours (Å) after each atom.
Sites, in units of the cell vectors:
Gd 0.0000 0.0000 0.0000  4 Pd 3.06, 1 Au 3.07, 2 Cd 3.21
Gd 0.0000 0.1680 0.5720  4 Pd 3.05-3.07, 1 Au 3.17, 4 Mg 3.29-3.41, 2 Cd 3.35
Gd 0.0000 0.5720 0.1680  4 Pd 3.05-3.07, 1 Au 3.17, 4 Mg 3.29-3.41, 2 Cd 3.35
Mg 0.5000 0.5793 0.8306  2 Au 2.74, 2 Pd 2.86-2.87
Mg 0.5000 0.8306 0.5793  2 Au 2.74, 2 Pd 2.86-2.87
Cd 0.5000 0.3255 0.3255  2 Au 2.90, 2 Pd 2.95, 2 Gd 3.21
Pd 0.5000 0.2426 0.9025  2 Mg 2.86-2.87, 1 Cd 2.95, 6 Gd 3.05-3.07
Pd 0.5000 0.9025 0.2426  2 Mg 2.86-2.87, 1 Cd 2.95, 6 Gd 3.05-3.07
Au 0.0000 0.5978 0.5978  4 Mg 2.74, 2 Cd 2.90


[2]
DFT (PBE) results for crystalline BeZnRe at its relaxed geometry.

Computed properties:
The symmetry is F-43m (216). As for the total energy: -4.718 eV per atom. For the total magnetic moment, the calculation gives 1.42 μB per cell.

a = 4.0465 Å, b = 4.0465 Å, c = 4.0465 Å
α = 60.00°, β = 60.00°, γ = 60.00°
With the nearest neighbours (Å) after each atom.
Sites, in units of the cell vectors:
Be 0.0000 0.0000 0.0000  4 Re 2.48
Zn 0.5000 0.5000 0.5000  4 Re 2.48
Re 0.2500 0.2500 0.2500  4 Be 2.48, 4 Zn 2.48


[3]
DFT (PBE) results for crystalline SrHfSi2 at its relaxed geometry.

Computed properties:
The symmetry is F-43m (216). As for the total energy: -5.035 eV per atom. For the total magnetic moment, the calculation gives 0.01 μB per cell.

a = 4.8986 Å, b = 4.8986 Å, c = 4.8986 Å
α = 60.00°, β = 60.00°, γ = 60.00°
With the nearest neighbours (Å) after each atom.
Sites, in units of the cell vectors:
Sr 0.0000 0.0000 0.0000  4 Hf 3.00, 4 Si 3.00
Hf 0.2500 0.2500 0.2500  4 Sr 3.00, 4 Si 3.00
Si 0.5000 0.5000 0.5000  4 Hf 3.00, 4 Si 3.00
Si 0.7500 0.7500 0.7500  4 Si 3.00, 4 Sr 3.00